Density functional theory data (PBE) for a relaxed V2FeAuC crystal.

Summary:
magnetization	3.2	Bohr magnetons per cell
calculated formation energy	2.680	eV/atom
total energy	-5.160	eV/atom
space group	P4/mmm, No. 123

Cell lengths 4.739, 4.684, 4.739 Å; angles 90.00, 90.00, 90.00 degrees
Each line ends with the local moment (μB).
Positions (direct):
1 C 0.500 0.500 0.500  -0.16
2 Au 0.000 0.000 0.000  0.04
3 V 0.500 0.000 0.000  0.17
4 V 0.000 0.000 0.500  0.10
5 Fe 0.000 0.500 0.000  3.16